The following is a DFT calculation (PBE) of an optimized crystal structure of LiHfAlCu.

Lattice parameters (Å, degrees): 4.463 4.463 4.463 60.00 60.00 60.00
Atoms (fractional coordinates):
Hf (0.250, 0.250, 0.250)
Al (0.000, 0.000, 0.000)
Cu (0.750, 0.750, 0.750)
Li (0.500, 0.500, 0.500)

Properties
Energy above the most stable polymorph in this dataset ... 201 meV/atom

=====

The following is a DFT calculation (PBE) of an optimized crystal structure of LiHf2Al2CuPd2.

Lattice parameters (Å, degrees): 4.468 4.468 6.329 90.00 90.00 90.00
Atoms (fractional coordinates):
Al (0.500, 0.000, 0.752)
Li (0.500, 0.500, 0.500)
Pd (0.000, 0.000, 0.500)
Al (0.000, 0.500, 0.248)
Cu (0.000, 0.000, 0.000)
Hf (0.500, 0.000, 0.248)
Hf (0.000, 0.500, 0.752)
Pd (0.500, 0.500, 0.000)

=====

The following is a DFT calculation (PBE) of an optimized crystal structure of LuHfAlCu.

Lattice parameters (Å, degrees): 4.790 4.790 4.790 60.00 60.00 60.00
Atoms (fractional coordinates):
Hf (0.250, 0.250, 0.250)
Al (0.000, 0.000, 0.000)
Cu (0.750, 0.750, 0.750)
Lu (0.500, 0.500, 0.500)

Properties
Energy above the most stable polymorph in this dataset ... 0 meV/atom

=====

The following is a DFT calculation (PBE) of an optimized crystal structure of Hf4AlCuN2.

Lattice parameters (Å, degrees): 3.199 3.199 13.849 90.00 90.00 120.00
Atoms (fractional coordinates):
Cu (0.333, 0.667, 0.000)
Hf (0.000, 0.000, 0.848)
Al (0.000, 0.000, 0.500)
Hf (0.000, 0.000, 0.152)
N (0.667, 0.333, 0.757)
Hf (0.333, 0.667, 0.335)
N (0.667, 0.333, 0.243)
Hf (0.333, 0.667, 0.665)

=====

The following is a DFT calculation (PBE) of an optimized crystal structure of NdHf2Al3Cu2Ni.

Lattice parameters (Å, degrees): 4.063 6.670 6.670 120.34 90.00 90.00
Atoms (fractional coordinates):
Cu (0.500, 0.330, 0.679)
Al (0.500, 0.991, 0.237)
Nd (0.000, 0.414, 0.414)
Hf (0.000, 0.597, 0.006)
Ni (0.000, 0.980, 0.980)
Al (0.500, 0.766, 0.766)
Al (0.500, 0.237, 0.991)
Hf (0.000, 0.006, 0.597)
Cu (0.500, 0.679, 0.330)

=====

The following is a DFT calculation (PBE) of an optimized crystal structure of HfAlCuNi.

Lattice parameters (Å, degrees): 4.155 4.155 7.939 90.00 90.00 120.00
Atoms (fractional coordinates):
Hf (0.667, 0.333, 0.753)
Ni (0.333, 0.667, 0.918)
Al (0.000, 0.000, 0.490)
Cu (0.333, 0.667, 0.589)
Cu (0.667, 0.333, 0.089)
Ni (0.667, 0.333, 0.418)
Hf (0.333, 0.667, 0.253)
Al (0.000, 0.000, 0.990)

=====

The following is a DFT calculation (PBE) of an optimized crystal structure of Hf3Al3Cu2Ni.

Lattice parameters (Å, degrees): 6.472 6.472 3.966 90.00 90.00 120.00
Atoms (fractional coordinates):
Al (0.756, 0.756, 0.500)
Cu (0.333, 0.667, 0.500)
Hf (0.588, 0.000, 0.000)
Ni (0.000, 0.000, 0.000)
Hf (0.000, 0.588, 0.000)
Al (0.244, 0.000, 0.500)
Al (0.000, 0.244, 0.500)
Hf (0.412, 0.412, 0.000)
Cu (0.667, 0.333, 0.500)

=====

The following is a DFT calculation (PBE) of an optimized crystal structure of HfAlCuNi.

Lattice parameters (Å, degrees): 4.147 4.147 7.936 90.00 90.00 120.00
Atoms (fractional coordinates):
Cu (0.667, 0.333, 0.838)
Al (0.000, 0.000, 0.743)
Ni (0.333, 0.667, 0.669)
Cu (0.667, 0.333, 0.162)
Hf (0.667, 0.333, 0.500)
Al (0.000, 0.000, 0.257)
Hf (0.333, 0.667, 0.000)
Ni (0.333, 0.667, 0.331)

=====

The following is a DFT calculation (PBE) of an optimized crystal structure of HfAlCuNi.

Lattice parameters (Å, degrees): 4.147 4.147 7.972 90.00 90.00 120.00
Atoms (fractional coordinates):
Hf (0.667, 0.333, 0.740)
Cu (0.667, 0.333, 0.088)
Cu (0.333, 0.667, 0.912)
Al (0.000, 0.000, 0.000)
Ni (0.333, 0.667, 0.585)
Ni (0.667, 0.333, 0.415)
Hf (0.333, 0.667, 0.260)
Al (0.000, 0.000, 0.500)

=====

The following is a DFT calculation (PBE) of an optimized crystal structure of Hf2Al2Cu2NiPd.

Lattice parameters (Å, degrees): 4.391 4.391 6.242 90.00 90.00 90.00
Atoms (fractional coordinates):
Cu (0.000, 0.000, 0.500)
Al (0.000, 0.500, 0.255)
Ni (0.500, 0.500, 0.500)
Cu (0.500, 0.500, 0.000)
Pd (0.000, 0.000, 0.000)
Hf (0.500, 0.000, 0.262)
Al (0.500, 0.000, 0.745)
Hf (0.000, 0.500, 0.738)

=====

The following is a DFT calculation (PBE) of an optimized crystal structure of Hf2ScAl3Cu2Ni.

Lattice parameters (Å, degrees): 3.947 6.514 6.514 119.72 90.00 90.00
Atoms (fractional coordinates):
Cu (0.500, 0.334, 0.668)
Ni (0.000, 0.998, 0.998)
Al (0.500, 0.999, 0.243)
Al (0.500, 0.243, 0.999)
Cu (0.500, 0.668, 0.334)
Al (0.500, 0.758, 0.758)
Hf (0.000, 0.588, 0.000)
Sc (0.000, 0.412, 0.412)
Hf (0.000, 0.000, 0.588)

=====

The following is a DFT calculation (PBE) of an optimized crystal structure of HfSc2Al3Cu2Ni.

Lattice parameters (Å, degrees): 3.754 6.727 6.727 120.26 90.00 90.00
Atoms (fractional coordinates):
Al (0.500, 0.001, 0.242)
Cu (0.500, 0.665, 0.333)
Sc (0.000, 0.589, 0.000)
Hf (0.000, 0.411, 0.411)
Cu (0.500, 0.333, 0.665)
Sc (0.000, 0.000, 0.589)
Al (0.500, 0.756, 0.756)
Ni (0.000, 0.002, 0.002)
Al (0.500, 0.242, 0.001)

=====

Asked for total DFT energy (no corrections) across the records above, the calculation gives -19.25; -48.08; -21.21; -71.76; -52.65; -49.91; -58.60; -49.85; -49.94; -49.92; -54.99; -51.45 eV/cell in order.